An optimized crystal structure of KHoVO4. Source: Alexandria via LeMat-Bulk, functional GGA+U.

abc: 5.917 5.920 7.367
angles: 90.00 108.05 90.00
Last column: magnetic moment on the atom in μB.
Fractional coordinates of all 14 atoms:
Ho: 0.178 0.250 0.539  0.02
Ho: 0.822 0.750 0.461  0.02
O: 0.515 0.250 0.424  -0.04
O: 0.951 0.474 0.673  0.01
O: 0.049 0.974 0.327  0.01
O: 0.049 0.526 0.327  0.01
O: 0.471 0.750 0.195  -0.03
O: 0.951 0.026 0.673  0.01
O: 0.485 0.750 0.576  -0.04
O: 0.529 0.250 0.805  -0.03
K: 0.714 0.750 0.942  0.00
K: 0.286 0.250 0.058  0.00
V: 0.714 0.250 0.655  0.97
V: 0.286 0.750 0.345  0.97

Calculated values
- density of states at the Fermi level (states/eV per cell) = 0.000
- SG = No. 11
- energy (eV/atom) = -7.17
- spin magnetization (μB per formula unit) = 1.00